Below is crystalline LaNiRhPb at its relaxed geometry, with properties calculated at the PBE-GGA level.

Properties
For the formation energy, the calculation gives -295.6 meV per atom. The total energy comes out at -0.4217 Ry per atom. The calculation puts the total moment at 0.0 μB/f.u.

a b c (Å): 6.8923 6.8923 6.8923
angles (deg): 90.00 90.00 90.00
With the nearest neighbours (Å) after each atom.
Space group F-43m (No. 216)
Asymmetric unit:
La 0.0000 0.0000 0.0000 (multiplicity 4)  4 Ni 2.98, 4 Rh 2.98
Ni 0.2500 0.2500 0.2500 (multiplicity 4)  4 La 2.98, 4 Pb 2.98
Rh 0.2500 0.2500 0.7500 (multiplicity 4)  4 La 2.98, 4 Pb 2.98
Pb 0.0000 0.0000 0.5000 (multiplicity 4)  4 Ni 2.98, 4 Rh 2.98

=====

Below is crystalline La6NiRuPb2 at its relaxed geometry, with properties calculated at the PBE-GGA level.

Properties
For the formation energy, the calculation gives -398.5 meV per atom. The total energy comes out at -0.4118 Ry per atom. The calculation puts the total moment at 0.0 μB/f.u.

a b c (Å): 10.8778 10.9232 7.7049
angles (deg): 90.00 134.88 90.00
With the nearest neighbours (Å) after each atom.
Space group Cm (No. 8)
Asymmetric unit:
La 0.0000 0.0000 0.0000 (multiplicity 2)  1 Ni 2.72, 1 Ru 2.76
La 0.0005 0.5000 0.9972 (multiplicity 2)  1 Ru 2.72, 1 Ni 2.72
La 0.0043 0.0000 0.5017 (multiplicity 2)  1 Ru 2.68, 1 Ni 2.70
La 0.2496 0.2497 0.4989 (multiplicity 4)  1 Ni 2.73, 1 Ru 2.74
La 0.4980 0.0000 0.4963 (multiplicity 2)  1 Ni 2.70, 1 Ru 2.80
Ni 0.2511 0.0000 0.4987 (multiplicity 2)  6 La 2.70-2.73
Ru 0.2549 0.5000 0.4949 (multiplicity 2)  6 La 2.68-2.80
Pb 0.2511 0.2498 0.9985 (multiplicity 4)  12 La 3.84-3.88

=====

Below is crystalline LaNi2PbS at its relaxed geometry, with properties calculated at the PBE-GGA level.

Properties
For the uncorrected formation energy, the calculation gives 0.4573 eV per atom. The total energy comes out at -0.3240 Ry per atom. The calculation puts the total moment at 0.0 μB/f.u.

a b c (Å): 4.8474 4.8474 5.5163
angles (deg): 90.00 90.00 90.00
With the nearest neighbours (Å) after each atom.
Space group P4/mmm (No. 123)
Asymmetric unit:
La 0.0000 0.0000 0.0000 (multiplicity 1)  4 Ni 2.42
Ni 0.0000 0.5000 0.0000 (multiplicity 2)  2 La 2.42
Pb 0.5000 0.5000 0.5000 (multiplicity 1)  4 S 3.43, 8 Ni 3.67
S 0.0000 0.0000 0.5000 (multiplicity 1)  2 La 2.76

=====

Below is crystalline LaSc2NiPb at its relaxed geometry, with properties calculated at the PBE-GGA level.

Properties
For the formation energy, the calculation gives -297.3 meV per atom. The total energy comes out at -0.4199 Ry per atom. The calculation puts the total moment at 0.0 μB/f.u.

a b c (Å): 5.0615 5.0615 5.1031
angles (deg): 90.00 90.00 90.00
With the nearest neighbours (Å) after each atom.
Space group P4/mmm (No. 123)
Asymmetric unit:
La 0.0000 0.0000 0.0000 (multiplicity 1)  2 Ni 2.55
Sc 0.0000 0.5000 0.5000 (multiplicity 2)  2 Ni 2.53
Ni 0.0000 0.0000 0.5000 (multiplicity 1)  4 Sc 2.53, 2 La 2.55
Pb 0.5000 0.5000 0.0000 (multiplicity 1)  4 La 3.58, 8 Sc 3.59